[1]
Density functional theory data (PBE) for a geometry-optimized Ca2In2Ni structure.

Lattice parameters (Å, degrees): 6.0910 6.0910 11.6390 112.88 112.88 40.84
With the nearest neighbours (Å) after each atom.
Atoms (fractional coordinates):
Ca  0.0081  0.0081  0.1650  3 Ni 3.18-3.35, 7 In 3.25-3.46
Ca  0.1944  0.1944  0.6248  2 Ni 3.16, 6 In 3.25-3.43
Ca  0.8056  0.8056  0.3752  2 Ni 3.16, 6 In 3.25-3.43
Ca  0.9919  0.9919  0.8350  3 Ni 3.18-3.35, 7 In 3.25-3.46
In  0.3213  0.3213  0.9436  3 Ni 2.62-2.77
In  0.4763  0.4763  0.6182  1 Ni 2.65
In  0.5237  0.5237  0.3818  1 Ni 2.65
In  0.6787  0.6787  0.0564  3 Ni 2.62-2.77
Ni  0.3052  0.3052  0.1746  4 In 2.62-2.77
Ni  0.6948  0.6948  0.8254  4 In 2.62-2.77

Results
DFT formation energy: -0.3452 eV/atom
Excess energy over the best structure of this formula in the dataset: 0.0 meV per atom


[2]
Density functional theory data (PBE) for a geometry-optimized FeCuP2 structure.

Lattice parameters (Å, degrees): 12.3894 2.5879 3.4020 90.00 90.08 90.00
With the nearest neighbours (Å) after each atom.
Atoms (fractional coordinates):
Fe  0.0000  0.0000  0.0000  6 P 2.26-2.32
Fe  0.5000  0.5000  0.0000  6 P 2.26-2.32
Cu  0.2376  0.0000  0.5026  5 P 2.34-2.40, 2 Cu 2.59
Cu  0.7376  0.5000  0.5026  5 P 2.34-2.40, 2 Cu 2.59
P  0.1498  0.5000  0.0018  2 Fe 2.26, 4 Cu 2.40
P  0.4263  0.0000  0.4996  4 Fe 2.32, 1 Cu 2.34, 2 P 2.59
P  0.6498  0.0000  0.0018  2 Fe 2.26, 4 Cu 2.40
P  0.9263  0.5000  0.4996  4 Fe 2.32, 1 Cu 2.34, 2 P 2.59

Results
DFT formation energy: -0.1007 eV/atom